This record from the Alexandria database describes a relaxed structure of K2ScZn2Se4. The functional is PBE. Values from VASP.

```
&SYSTEM
  ibrav = 0, nat = 9, ntyp = 4
/
ATOMIC_SPECIES
Zn 65.41 Zn.upf
Se 78.96 Se.upf
Sc 44.96 Sc.upf
K 39.10 K.upf
CELL_PARAMETERS angstrom
3.9935 0.0000 0.0000
0.0000 8.0457 0.0540
-1.9968 -3.1252 7.2288
ATOMIC_POSITIONS angstrom
Zn 1.9968 -1.0946 2.6657
Se 0.0000 -1.2112 6.8918
Sc 0.0000 0.0000 0.0000
K 0.0000 3.7234 1.8751
Se 1.9968 6.1317 0.3910
K 1.9968 1.1971 5.4077
Zn 0.0000 6.0151 4.6171
Se 1.9968 4.4526 4.5585
Se 0.0000 0.4678 2.7243
```

Summary:
**DOS at the Fermi energy**: 4.4 states/eV per cell
**Space group**: C2/m, No. 12
**E**: -34.464 eV per formula unit